# LiTlS2N

LiTlS2N after structural relaxation (PBE-GGA, Alexandria).

a b c (Å): 5.2292 5.2292 4.4885
angles (deg): 90.00 90.00 90.00
Sites, in units of the cell vectors:
Tl: 0.0000 0.0000 0.0000
Li: 0.5000 0.5000 0.5000
S: 0.0000 0.5000 0.0000
S: 0.5000 0.0000 0.0000
N: 0.0000 0.0000 0.5000

## Properties
Energy relative to the lowest polymorph listed for this composition ... 0.000 eV/atom
Density ... 3.92 g cm⁻³
Symmetry ... P4/mmm, No. 123
Formation energy from raw total energies ... 426 kJ/mol of formula units
DOS(E_F) ... 3.82 states/eV/f.u.

=====

# LiBSe2

LiBSe2 after structural relaxation (PBE-GGA, Alexandria).

a b c (Å): 15.4214 6.8783 6.8783
angles (deg): 88.94 112.13 67.87
Sites, in units of the cell vectors:
B: 0.1622 0.1050 0.2193
B: 0.3378 0.7193 0.6050
B: 0.8378 0.8950 0.7807
B: 0.6622 0.2807 0.3950
B: 0.3347 0.2127 0.5986
B: 0.1653 0.0986 0.7127
B: 0.6653 0.7873 0.4014
B: 0.8347 0.9014 0.2873
Se: 0.9348 0.8406 0.6155
Se: 0.5652 0.1155 0.3406
Se: 0.0652 0.1594 0.3845
Se: 0.4348 0.8845 0.6594
Se: 0.7432 0.2246 0.2072
Se: 0.7568 0.7072 0.7246
Se: 0.2568 0.7754 0.7928
Se: 0.2432 0.2928 0.2754
Se: 0.5710 0.6167 0.3024
Se: 0.9290 0.8024 0.1167
Se: 0.4290 0.3833 0.6976
Se: 0.0710 0.1976 0.8833
Se: 0.7500 0.2191 0.7191
Se: 0.2500 0.7809 0.2809
Se: 0.7500 0.7234 0.2234
Se: 0.2500 0.2766 0.7766
Li: 0.3948 0.3746 0.0434
Li: 0.1052 0.5434 0.8746
Li: 0.6052 0.6254 0.9566
Li: 0.8948 0.4566 0.1254
Li: 0.3802 0.9148 0.2365
Li: 0.1198 0.7365 0.4148
Li: 0.6198 0.0852 0.7635
Li: 0.8802 0.2635 0.5852

## Properties
Density ... 3.79 g cm⁻³
Symmetry ... C2/c, No. 15
Formation energy from raw total energies ... -191 kJ/mol of formula units
DOS(E_F) ... 0.00 states/eV/f.u.

=====

# BaPaH2

BaPaH2 after structural relaxation (PBE-GGA, Alexandria).

a b c (Å): 3.7794 3.7794 6.9867
angles (deg): 74.31 74.31 60.00
Sites, in units of the cell vectors:
H: 0.1343 0.1343 0.5972
H: 0.8657 0.8657 0.4028
Pa: 0.5000 0.5000 0.5000
Ba: 0.0000 0.0000 0.0000

## Properties
Density ... 7.49 g cm⁻³
Electronic total energy ... -18.185 eV per formula unit
Symmetry ... R-3m, No. 166
DOS(E_F) ... 6.06 states/eV/f.u.

=====

# Ho2CdTe4

Ho2CdTe4 after structural relaxation (PBE-GGA, Alexandria).

a b c (Å): 8.9183 8.9184 8.9221
angles (deg): 59.98 59.98 89.98
Sites, in units of the cell vectors:
Te: 0.2564 0.7688 0.9873
Te: 0.7436 0.2312 0.0127
Te: 0.2688 0.7564 0.4873
Te: 0.2564 0.2439 0.5125
Te: 0.2561 0.2436 0.9875
Te: 0.7436 0.7561 0.4875
Te: 0.7312 0.2436 0.5127
Te: 0.7439 0.7564 0.0125
Ho: 0.5000 0.5000 0.5000
Ho: 0.5000 0.0000 0.5000
Ho: 0.0000 0.0000 0.0000
Ho: 0.5000 0.0000 0.0000
Cd: 0.8749 0.6251 0.7500
Cd: 0.1251 0.3749 0.2500

## Properties
Density ... 6.31 g cm⁻³
Symmetry ... Fd-3m, No. 227
Formation energy from raw total energies ... -750 kJ/mol of formula units
DOS(E_F) ... 0.58 states/eV/f.u.

=====

# ZnNiW

ZnNiW after structural relaxation (PBE-GGA, Alexandria).

a b c (Å): 5.7436 5.7438 2.7415
angles (deg): 76.19 76.20 27.61
Sites, in units of the cell vectors:
Ni: 0.9979 0.9979 0.0021
W: 0.6582 0.6582 0.3418
Zn: 0.3439 0.3439 0.6561

## Properties
Energy relative to the lowest polymorph listed for this composition ... 0.000 eV/atom
Energy of formation from the pure elements ... 0.02 eV/atom
Density ... 12.58 g cm⁻³
Symmetry ... I4mm, No. 107
DOS(E_F) ... 1.69 states/eV/f.u.

=====

# CdTe

CdTe after structural relaxation (PBE-GGA, Alexandria).

a b c (Å): 10.2953 7.5489 7.4445
angles (deg): 86.73 47.06 46.21
Sites, in units of the cell vectors:
Cd: 0.2802 0.0552 0.9448
Cd: 0.9448 0.7198 0.2802
Cd: 0.4598 0.5402 0.4598
Te: 0.6647 0.3353 0.6647
Te: 0.7569 0.9445 0.0555
Te: 0.0555 0.2431 0.7569

## Properties
Density ... 6.30 g cm⁻³
Symmetry ... Fmm2, No. 42
Formation energy from raw total energies ... -8 kJ/mol of formula units
DOS(E_F) ... 1.03 states/eV/f.u.

=====

# PmYTl3

PmYTl3 after structural relaxation (PBE-GGA, Alexandria).

a b c (Å): 4.5140 4.5140 8.4446
angles (deg): 105.50 105.50 90.00
Sites, in units of the cell vectors:
Pm: 0.6326 0.6326 0.2651
Y: 0.9564 0.9564 0.9129
Tl: 0.2819 0.7819 0.5638
Tl: 0.7819 0.2819 0.5638
Tl: 0.4374 0.4374 0.8748

## Properties
Energy of formation from the pure elements ... -0.08 eV/atom
Density ... 8.83 g cm⁻³
Symmetry ... I4mm, No. 107
DOS(E_F) ... 4.21 states/eV/f.u.

=====

# CoTeMoN2

CoTeMoN2 after structural relaxation (PBE-GGA, Alexandria).

a b c (Å): 3.8407 3.8407 5.0964
angles (deg): 90.00 90.00 90.00
Sites, in units of the cell vectors:
Mo: 0.5000 0.5000 0.5000
Te: 0.0000 0.0000 0.5000
Co: 0.0000 0.0000 0.0000
N: 0.0000 0.5000 0.0000
N: 0.5000 0.0000 0.0000

## Properties
Energy relative to the lowest polymorph listed for this composition ... 0.678 eV/atom
Density ... 6.86 g cm⁻³
Symmetry ... P4/mmm, No. 123
Formation energy from raw total energies ... 681 kJ/mol of formula units
DOS(E_F) ... 2.73 states/eV/f.u.

=====

# Hg2B2F7

Hg2B2F7 after structural relaxation (PBE-GGA, Alexandria).

a b c (Å): 8.5669 6.0148 7.2487
angles (deg): 63.72 99.13 141.52
Sites, in units of the cell vectors:
Hg: 0.2489 0.2143 0.4865
Hg: 0.7511 0.7857 0.5135
B: 0.7722 0.5084 0.1290
B: 0.2278 0.4916 0.8710
F: 0.4557 0.6570 0.7982
F: 0.8550 0.4341 0.2964
F: 0.5443 0.3430 0.2018
F: 0.1450 0.5659 0.7036
F: 0.0000 0.0000 0.0000
F: 0.2292 0.5694 0.0236
F: 0.7708 0.4306 0.9764

## Properties
Density ... 4.70 g cm⁻³
Symmetry ... P-1, No. 2
Formation energy from raw total energies ... -2440 kJ/mol of formula units
DOS(E_F) ... 1.17 states/eV/f.u.

=====

# Nd3CO2

Nd3CO2 after structural relaxation (PBE-GGA, Alexandria).

a b c (Å): 6.3137 6.3137 11.5760
angles (deg): 100.45 100.45 109.57
Sites, in units of the cell vectors:
Nd: 0.1659 0.6692 0.8316
Nd: 0.6656 0.1624 0.8316
Nd: 0.0841 0.0808 0.6684
Nd: 0.5844 0.5876 0.6684
Nd: 0.0043 0.5043 0.5000
Nd: 0.4957 0.9957 0.5000
Nd: 0.4124 0.4156 0.3316
Nd: 0.9192 0.9159 0.3316
Nd: 0.8376 0.3344 0.1684
Nd: 0.3308 0.8341 0.1684
Nd: 0.2457 0.2457 0.0000
Nd: 0.7543 0.7543 0.0000
C: 0.9170 0.9170 0.8340
C: 0.3330 0.8330 0.6660
C: 0.1670 0.6670 0.3340
C: 0.0830 0.0830 0.1660
O: 0.0020 0.5020 0.0041
O: 0.4135 0.4135 0.8269
O: 0.8365 0.3365 0.6731
O: 0.2480 0.2480 0.4959
O: 0.7520 0.7520 0.5041
O: 0.6635 0.1635 0.3269
O: 0.5865 0.5865 0.1731
O: 0.4980 0.9980 0.9959

## Properties
Density ... 7.67 g cm⁻³
Symmetry ... Fddd, No. 70
Formation energy from raw total energies ... -1141 kJ/mol of formula units
DOS(E_F) ... 0.56 states/eV/f.u.

=====

# NaEuYGa

NaEuYGa after structural relaxation (PBE-GGA, Alexandria).

a b c (Å): 5.3887 5.3887 5.3887
angles (deg): 60.00 60.00 60.00
Sites, in units of the cell vectors:
Eu: 0.2500 0.2500 0.2500
Y: 0.7500 0.7500 0.7500
Ga: 0.0000 0.0000 0.0000
Na: 0.5000 0.5000 0.5000

## Properties
Energy of formation from the pure elements ... -0.11 eV/atom
Density ... 5.01 g cm⁻³
Symmetry ... F-43m, No. 216
DOS(E_F) ... 8.80 states/eV/f.u.

=====

# TbHo2Tl

TbHo2Tl after structural relaxation (PBE-GGA, Alexandria).

a b c (Å): 3.5905 3.5905 11.0627
angles (deg): 80.67 80.67 60.00
Sites, in units of the cell vectors:
Tb: 0.5000 0.5000 0.5001
Ho: 0.0793 0.0793 0.7621
Ho: 0.2542 0.2542 0.2374
Tl: 0.6666 0.6666 0.0005

## Properties
Energy relative to the lowest polymorph listed for this composition ... 0.069 eV/atom
Energy of formation from the pure elements ... -0.11 eV/atom
Density ... 9.49 g cm⁻³
Symmetry ... R3m, No. 160
DOS(E_F) ... 5.26 states/eV/f.u.